No. 1
DFT (PBE+U) results for a relaxed structure of PaFeHgO5. Values from VASP.

## Properties
Space group   C2/c, No. 15

```
&SYSTEM
  ibrav = 0, nat = 16, ntyp = 4
/
ATOMIC_SPECIES
Pa 231.04 Pa.upf
Fe 55.84 Fe.upf
Hg 200.59 Hg.upf
O 16.00 O.upf
CELL_PARAMETERS angstrom
6.2138 -0.5279 -0.1540
-2.3188 5.7891 -0.1540
-1.7740 -2.3962 7.6284
ATOMIC_POSITIONS crystal
Pa 0.0000 0.0000 0.5000
Pa 0.0000 0.0000 0.0000
Fe 0.7020 0.2980 0.2500
Fe 0.2980 0.7020 0.7500
Hg 0.3102 0.6898 0.2500
Hg 0.6898 0.3102 0.7500
O 0.0651 0.9349 0.2500
O 0.9349 0.0651 0.7500
O 0.9688 0.3431 0.1474
O 0.0312 0.6569 0.8526
O 0.6569 0.0312 0.3526
O 0.3431 0.9688 0.6474
O 0.7953 0.5996 0.4293
O 0.2047 0.4004 0.5707
O 0.4004 0.2047 0.0707
O 0.5996 0.7953 0.9293
```


No. 2
DFT (PBE+U) results for a relaxed structure of Pa2FeHgO8. Values from VASP.

## Properties
Space group   P-3, No. 147

```
&SYSTEM
  ibrav = 0, nat = 12, ntyp = 4
/
ATOMIC_SPECIES
Pa 231.04 Pa.upf
Fe 55.84 Fe.upf
Hg 200.59 Hg.upf
O 16.00 O.upf
CELL_PARAMETERS angstrom
6.4003 0.0000 0.0000
-3.2001 5.5428 0.0000
0.0000 0.0000 4.8680
ATOMIC_POSITIONS crystal
Pa 0.6667 0.3333 0.0232
Pa 0.3333 0.6667 0.9768
Fe 0.0000 0.0000 0.5000
Hg 0.0000 0.0000 0.0000
O 0.9854 0.6612 0.8132
O 0.3388 0.3241 0.8132
O 0.6759 0.0146 0.8132
O 0.0146 0.3388 0.1868
O 0.6612 0.6759 0.1868
O 0.3241 0.9854 0.1868
O 0.6667 0.3333 0.4515
O 0.3333 0.6667 0.5485
```


No. 3
DFT (PBE+U) results for a relaxed structure of PuFeHg2O6. Values from VASP.

## Properties
Space group   R-3, No. 148

```
&SYSTEM
  ibrav = 0, nat = 10, ntyp = 4
/
ATOMIC_SPECIES
Pu 244.00 Pu.upf
Fe 55.84 Fe.upf
Hg 200.59 Hg.upf
O 16.00 O.upf
CELL_PARAMETERS angstrom
5.6303 0.0001 0.0003
2.8153 4.8761 0.0001
2.8151 1.6256 4.8518
ATOMIC_POSITIONS crystal
Pu 0.3162 0.3162 0.0515
Fe 0.8162 0.8162 0.5515
Hg 0.5621 0.5621 0.3136
Hg 0.0702 0.0702 0.7894
O 0.5723 0.1583 0.3102
O 0.1584 0.9591 0.3102
O 0.9591 0.5723 0.3103
O 0.4739 0.6732 0.7929
O 0.6732 0.0600 0.7928
O 0.0599 0.4740 0.7929
```


No. 4
DFT (PBE+U) results for a relaxed structure of FeHgS2O8. Values from VASP.

## Properties
Space group   R-3, No. 148

```
&SYSTEM
  ibrav = 0, nat = 12, ntyp = 4
/
ATOMIC_SPECIES
Fe 55.84 Fe.upf
Hg 200.59 Hg.upf
S 32.06 S.upf
O 16.00 O.upf
CELL_PARAMETERS angstrom
4.8691 0.0000 0.0000
2.4346 4.2168 0.0000
2.4346 1.4056 8.2257
ATOMIC_POSITIONS crystal
Fe 0.0000 0.0000 0.0000
Hg 0.5000 0.5000 0.5000
S 0.2643 0.2643 0.2072
S 0.7357 0.7357 0.7928
O 0.2042 0.2042 0.3873
O 0.5908 0.2460 0.1465
O 0.7958 0.7958 0.6127
O 0.0167 0.5908 0.1465
O 0.9833 0.4092 0.8535
O 0.2460 0.0167 0.1465
O 0.7540 0.9833 0.8535
O 0.4092 0.7540 0.8535
```


No. 5
DFT (PBE+U) results for a relaxed structure of FeHgSb2O. Values from VASP.

## Properties
Space group   P4/mmm, No. 123

```
&SYSTEM
  ibrav = 0, nat = 5, ntyp = 4
/
ATOMIC_SPECIES
Sb 121.76 Sb.upf
Hg 200.59 Hg.upf
O 16.00 O.upf
Fe 55.84 Fe.upf
CELL_PARAMETERS angstrom
-2.8160 -2.3880 -4.0890
2.6380 -4.2869 0.6869
-3.7734 -1.7426 3.6163
ATOMIC_POSITIONS crystal
Sb 0.0000 0.0000 0.5000
Sb 0.5000 0.0000 0.0000
Hg 0.0000 0.0000 0.0000
O 0.5000 0.5000 0.5000
Fe 0.0000 0.5000 0.0000
```


No. 6
DFT (PBE+U) results for a relaxed structure of SrFe2HgO. Values from VASP.

## Properties
Space group   P4/mmm, No. 123

```
&SYSTEM
  ibrav = 0, nat = 5, ntyp = 4
/
ATOMIC_SPECIES
Sr 87.62 Sr.upf
Hg 200.59 Hg.upf
O 16.00 O.upf
Fe 55.84 Fe.upf
CELL_PARAMETERS angstrom
-1.2160 1.4925 3.8663
5.2733 -2.0933 2.4665
1.9032 3.7804 -0.8607
ATOMIC_POSITIONS crystal
Sr 0.5000 0.5000 0.5000
Hg 0.0000 0.5000 0.0000
O 0.0000 0.0000 0.0000
Fe 0.0000 0.0000 0.5000
Fe 0.5000 0.0000 0.0000
```


No. 7
DFT (PBE+U) results for a relaxed structure of FeHg2TeO6. Values from VASP.

## Properties
Space group   P-1, No. 2

```
&SYSTEM
  ibrav = 0, nat = 10, ntyp = 4
/
ATOMIC_SPECIES
Fe 55.84 Fe.upf
Hg 200.59 Hg.upf
Te 127.60 Te.upf
O 16.00 O.upf
CELL_PARAMETERS angstrom
-2.8072 -2.1976 4.3990
-1.9011 -5.2359 -0.2404
2.4831 -3.9467 3.2339
ATOMIC_POSITIONS crystal
Fe 0.8162 0.8162 0.5514
Hg 0.5696 0.5678 0.3013
Hg 0.0627 0.0645 0.8018
Te 0.3162 0.3162 0.0515
O 0.5521 0.1850 0.2830
O 0.1807 0.9824 0.3023
O 0.9816 0.5561 0.2938
O 0.4516 0.6499 0.8008
O 0.6508 0.0762 0.8093
O 0.0802 0.4473 0.8201
```


No. 8
DFT (PBE+U) results for a relaxed structure of Ti2FeHgO. Values from VASP.

## Properties
Space group   P4/mmm, No. 123

```
&SYSTEM
  ibrav = 0, nat = 5, ntyp = 4
/
ATOMIC_SPECIES
Ti 47.87 Ti.upf
Hg 200.59 Hg.upf
O 16.00 O.upf
Fe 55.84 Fe.upf
CELL_PARAMETERS angstrom
4.9056 0.0000 0.0000
0.0000 3.4320 0.0000
0.0000 0.0000 4.9056
ATOMIC_POSITIONS crystal
Ti 0.0000 0.0000 0.5000
Ti 0.5000 0.0000 0.0000
Hg 0.5000 0.5000 0.5000
O 0.0000 0.5000 0.0000
Fe 0.0000 0.0000 0.0000
```


No. 9
DFT (PBE+U) results for a relaxed structure of UFeHgO6. Values from VASP.

## Properties
Space group   C2, No. 5

```
&SYSTEM
  ibrav = 0, nat = 9, ntyp = 4
/
ATOMIC_SPECIES
U 238.03 U.upf
Fe 55.84 Fe.upf
Hg 200.59 Hg.upf
O 16.00 O.upf
CELL_PARAMETERS angstrom
5.4563 0.1301 -0.2588
2.8427 4.6597 0.2469
-0.2193 0.3923 5.2614
ATOMIC_POSITIONS crystal
U 0.6711 0.6711 0.5000
Fe 0.3365 0.3365 0.5000
Hg 0.9757 0.9757 0.0000
O 0.9833 0.4089 0.2964
O 0.4089 0.9833 0.7036
O 0.6623 0.3178 0.7120
O 0.0620 0.5823 0.7016
O 0.3177 0.6624 0.2880
O 0.5823 0.0621 0.2984
```


| no. | final energy (eV per cell) | total magnetization (μB/f.u.) |
| --- | --- | --- |
| 1 | -113.39 | 4.99 |
| 2 | -84.66 | 6.03 |
| 3 | -64.10 | 8.00 |
| 4 | -68.09 | 4.58 |
| 5 | -12.43 | 3.53 |
| 6 | -17.95 | 7.13 |
| 7 | -47.04 | 4.02 |
| 8 | -23.99 | 1.37 |
| 9 | -61.76 | 2.01 |